# 1
DFT (PBE-GGA) results for an optimized crystal structure of Tb4Sm3Ag.

Properties
* space-group type: P4/mmm
* formation enthalpy at 0 K: -58 meV/atom
* calculated total energy: -4.499 eV per atom
* Fermi-level density of states: 9.631 states/eV/cell

Structure (POSCAR):
```
Tb4Sm3Ag
1.0
-3.065 0.713 -1.733
-0.766 -3.508 -0.090
-9.109 1.561 16.754
Tb Ag Sm
4 1 3
Cartesian
-8.207 1.406 15.094 Tb
-0.903 0.155 1.661 Tb
-3.341 0.572 6.144 Tb
-5.769 0.988 10.610 Tb
-1.915 -1.398 -0.911 Ag
-4.048 -1.032 3.011 Sm
-6.470 -0.617 7.466 Sm
-8.892 -0.202 11.921 Sm
```

***

# 2
DFT (PBE-GGA) results for an optimized crystal structure of Tb3Sm2Ag3.

Properties
* space-group type: Immm
* formation enthalpy at 0 K: -200 meV/atom
* calculated total energy: -4.186 eV per atom
* Fermi-level density of states: 7.038 states/eV/cell

Structure (POSCAR):
```
Tb3Sm2Ag3
1.0
-0.869 2.751 2.356
-1.762 -3.553 3.500
11.224 -0.209 1.440
Tb Sm Ag
3 2 3
Cartesian
7.551 -0.465 3.328 Tb
1.043 -0.546 3.967 Tb
-0.434 1.376 1.178 Tb
4.444 -2.104 4.097 Sm
4.150 1.093 3.198 Sm
6.317 -0.871 6.292 Ag
-0.881 -1.777 1.750 Ag
2.276 -0.140 1.003 Ag
```

***

# 3
DFT (PBE-GGA) results for an optimized crystal structure of TbSm4Ag.

Properties
* space-group type: P4/mmm
* formation enthalpy at 0 K: -71 meV/atom
* calculated total energy: -4.464 eV per atom
* Fermi-level density of states: 7.900 states/eV/cell
* distance to the lowest polymorph of the same formula: 0.0 meV per atom

Structure (POSCAR):
```
TbSm4Ag
1.0
-1.614 2.697 1.809
-2.516 0.239 -2.601
-7.988 -9.385 6.863
Tb Sm Ag
1 4 1
Cartesian
0.000 0.000 0.000 Tb
-3.485 -0.200 0.824 Sm
-5.098 -5.989 4.380 Sm
-2.891 -3.396 2.483 Sm
-8.633 -6.249 5.247 Sm
-6.059 -3.224 3.036 Ag
```

***

# 4
DFT (PBE-GGA) results for an optimized crystal structure of TbSmTcAg.

Properties
* space-group type: F-43m
* formation enthalpy at 0 K: -64 meV/atom
* calculated total energy: -5.705 eV per atom
* Fermi-level density of states: 3.776 states/eV/cell

Structure (POSCAR):
```
TbSmTcAg
1.0
-3.774 2.805 -1.788
-1.289 -0.317 -4.853
-4.345 -2.170 -1.312
Tb Ag Sm Tc
1 1 1 1
Cartesian
0.000 0.000 0.000 Tb
-7.056 0.239 -5.965 Ag
-4.704 0.159 -3.976 Sm
-2.352 0.080 -1.988 Tc
```

***

# 5
DFT (PBE-GGA) results for an optimized crystal structure of TbSm2Ag3Te6.

Properties
* space-group type: C2/m
* calculated total energy: -4.314 eV per atom
* raw formation energy: -0.858 eV per atom

Structure (POSCAR):
```
TbSm2Ag3Te6
1.0
-2.470 3.648 0.639
-1.578 -2.468 7.997
9.535 3.634 0.604
Tb Sm Ag Te
1 2 3 6
Cartesian
-1.235 1.824 0.319 Tb
3.118 3.696 6.458 Sm
2.369 1.117 2.781 Sm
-2.024 0.590 4.318 Ag
3.256 4.446 2.709 Ag
2.231 0.368 6.530 Ag
4.146 1.354 8.302 Te
0.551 2.182 5.185 Te
1.341 3.460 0.937 Te
-0.228 -0.522 2.099 Te
5.715 5.335 7.140 Te
4.936 2.632 4.055 Te
```

***

# 6
DFT (PBE-GGA) results for an optimized crystal structure of TbSmAg2Te4.

Properties
* space-group type: I222
* calculated total energy: -4.179 eV per atom
* raw formation energy: -0.726 eV per atom
* Fermi-level density of states: 0.000 states/eV/cell

Structure (POSCAR):
```
TbSmAg2Te4
1.0
-5.339 -4.255 -0.641
1.055 -7.306 3.032
-2.813 -3.025 6.828
Tb Sm Ag Te
1 1 2 4
Cartesian
-3.549 -7.293 4.609 Tb
0.000 0.000 0.000 Sm
-1.304 -4.445 3.685 Ag
-5.793 -10.142 5.534 Ag
-3.915 -4.345 4.330 Te
-0.818 -8.358 5.173 Te
-4.174 -8.559 1.980 Te
-5.287 -7.912 6.955 Te
```

***

# 7
DFT (PBE-GGA) results for an optimized crystal structure of TbSm2AgTe5.

Properties
* space-group type: Cmc2_1
* calculated total energy: -4.782 eV per atom
* raw formation energy: -1.156 eV per atom
* Fermi-level density of states: 0.276 states/eV/cell

Structure (POSCAR):
```
TbSm2AgTe5
1.0
-3.944 -0.470 1.815
-1.343 -3.230 -9.010
3.267 -12.285 3.917
Tb Sm Ag Te
2 4 2 10
Cartesian
-2.354 -8.617 -2.095 Tb
-1.244 -1.433 -3.076 Tb
-1.827 -12.704 -2.009 Sm
1.504 -9.198 0.885 Sm
0.159 -4.605 -0.848 Sm
-3.942 -5.214 -4.665 Sm
0.716 -12.507 3.570 Ag
-1.360 -8.654 -5.199 Ag
0.893 -14.748 -1.881 Te
-0.512 -11.878 1.063 Te
-0.758 -13.027 -5.023 Te
0.289 -10.207 -2.018 Te
-3.122 -10.520 -4.256 Te
-1.287 -7.351 0.552 Te
-0.928 -6.289 -3.646 Te
-1.071 -3.678 1.974 Te
-2.836 -3.797 -1.893 Te
-0.018 -1.253 -0.365 Te
```

***

# 8
DFT (PBE-GGA) results for an optimized crystal structure of TbSmTlAg.

Properties
* space-group type: P4mm
* formation enthalpy at 0 K: -331 meV/atom
* calculated total energy: -3.973 eV per atom
* Fermi-level density of states: 3.321 states/eV/cell

Structure (POSCAR):
```
TbSmTlAg
1.0
-0.137 3.579 -0.876
-1.912 -0.819 -3.044
-6.695 0.725 4.011
Tb Sm Tl Ag
1 1 1 1
Cartesian
-2.505 0.271 1.501 Tb
-5.652 0.612 3.386 Sm
-1.783 1.462 -1.506 Tl
-5.018 1.812 0.432 Ag
```